1.
Sc2SiTe | meta-GGA SCAN | PBEsol geometry

Lattice parameters (Å, degrees): 4.882 4.882 4.882 60.00 60.00 60.00
Positions (direct):
Si 0.000 0.000 0.000
Sc 0.250 0.250 0.250
Sc 0.750 0.750 0.750
Te 0.500 0.500 0.500

The formation energy from raw total energies comes out at -0.515 eV per atom. The value obtained for the energy above the lowest structure with this stoichiometry is 0.507 eV/atom.



2.
Sc2SiTe | meta-GGA SCAN | PBEsol geometry

Lattice parameters (Å, degrees): 3.572 4.800 4.800 101.20 90.00 90.00
Positions (direct):
Si 0.500 0.000 0.000
Sc 0.000 0.500 0.000
Sc 0.000 0.000 0.500
Te 0.500 0.500 0.500

The formation energy from raw total energies comes out at -0.583 eV per atom. The value obtained for the energy above the lowest structure with this stoichiometry is 0.440 eV/atom.



3.
ScSiTe2 | meta-GGA SCAN | PBEsol geometry

Lattice parameters (Å, degrees): 6.222 6.222 8.062 112.70 112.70 90.00
Positions (direct):
Sc 0.250 0.750 0.500
Sc 0.000 0.000 0.000
Si 0.500 0.500 0.000
Si 0.750 0.250 0.500
Te 0.125 0.135 0.750
Te 0.865 0.375 0.250
Te 0.385 0.875 0.250
Te 0.625 0.615 0.750

The formation energy from raw total energies comes out at -0.082 eV per atom.



4.
Sc3SiTe | meta-GGA SCAN | PBEsol geometry

Lattice parameters (Å, degrees): 4.938 4.938 4.938 90.00 90.00 90.00
Positions (direct):
Si 0.000 0.000 0.000
Sc 0.500 0.000 0.000
Sc 0.000 0.000 0.500
Sc 0.000 0.500 0.000
Te 0.500 0.500 0.500

The formation energy from raw total energies comes out at -0.372 eV per atom.



5.
ScSiTe2 | meta-GGA SCAN | PBEsol geometry

Lattice parameters (Å, degrees): 3.757 3.787 7.811 104.03 103.92 90.00
Positions (direct):
Sc 0.436 0.436 0.872
Te 0.251 0.751 0.502
Te 0.016 0.016 0.031
Si 0.797 0.297 0.595

The formation energy from raw total energies comes out at -0.477 eV per atom.



6.
Sc2TiSi2 | meta-GGA SCAN | PBEsol geometry

Lattice parameters (Å, degrees): 3.368 3.368 8.809 101.02 101.02 90.00
Positions (direct):
Si 0.250 0.750 0.500
Si 0.750 0.250 0.500
Sc 0.385 0.385 0.769
Sc 0.615 0.615 0.231
Ti 0.000 0.000 0.000

The formation energy from raw total energies comes out at 0.034 eV per atom. The value obtained for the energy above the lowest structure with this stoichiometry is 0.771 eV/atom.



7.
Sc2TiSi2 | meta-GGA SCAN | PBEsol geometry

Lattice parameters (Å, degrees): 3.820 6.766 6.766 90.00 90.00 90.00
Last column: magnetic moment on the atom in μB.
Positions (direct):
Sc 0.500 0.174 0.674  0.12
Sc 0.500 0.826 0.326  0.12
Sc 0.500 0.674 0.826  0.12
Sc 0.500 0.326 0.174  0.12
Ti 0.000 0.000 0.000  0.95
Ti 0.000 0.500 0.500  0.95
Si 0.000 0.373 0.873  -0.02
Si 0.000 0.873 0.627  -0.02
Si 0.000 0.627 0.127  -0.02
Si 0.000 0.127 0.373  -0.02

The formation energy from raw total energies comes out at -0.737 eV per atom. The value obtained for the energy above the lowest structure with this stoichiometry is 0.000 eV/atom.



8.
ScTlSi4 | meta-GGA SCAN | PBEsol geometry

Lattice parameters (Å, degrees): 5.224 5.224 5.224 60.00 60.00 60.00
Positions (direct):
Si 0.374 0.374 0.877
Si 0.877 0.374 0.374
Si 0.374 0.877 0.374
Si 0.374 0.374 0.374
Sc 0.000 0.000 0.000
Tl 0.750 0.750 0.750

The formation energy from raw total energies comes out at 0.192 eV per atom.



9.
ScTl2Si | meta-GGA SCAN | PBEsol geometry

Lattice parameters (Å, degrees): 3.402 5.241 5.241 110.76 90.00 90.00
Positions (direct):
Si 0.500 0.500 0.500
Tl 0.000 0.000 0.500
Tl 0.000 0.500 0.000
Sc 0.500 0.000 0.000

The formation energy from raw total energies comes out at 0.095 eV per atom. The value obtained for the energy above the lowest structure with this stoichiometry is 0.153 eV/atom.



10.
ScTlSi2 | meta-GGA SCAN | PBEsol geometry

Lattice parameters (Å, degrees): 3.614 3.614 7.684 76.40 76.40 60.00
Positions (direct):
Tl 0.496 0.496 0.512
Sc 0.267 0.267 0.200
Si 0.011 0.011 0.967
Si 0.726 0.726 0.821

The formation energy from raw total energies comes out at -0.005 eV per atom. The value obtained for the energy above the lowest structure with this stoichiometry is 0.000 eV/atom.



11.
ScTl2Si | meta-GGA SCAN | PBEsol geometry

Lattice parameters (Å, degrees): 3.638 3.638 7.061 90.00 90.00 90.00
Positions (direct):
Si 0.500 0.500 0.673
Tl 0.500 0.500 0.275
Tl 0.000 0.000 0.987
Sc 0.000 0.000 0.565

The formation energy from raw total energies comes out at -0.059 eV per atom. The value obtained for the energy above the lowest structure with this stoichiometry is 0.000 eV/atom.



12.
ScTlSi | meta-GGA SCAN | PBEsol geometry

Lattice parameters (Å, degrees): 4.124 4.124 4.364 90.00 90.00 120.00
Positions (direct):
Sc 0.000 0.000 0.957
Si 0.333 0.667 0.666
Tl 0.667 0.333 0.377

The formation energy from raw total energies comes out at -0.176 eV per atom.



13.
ScTlSi2 | meta-GGA SCAN | PBEsol geometry

Lattice parameters (Å, degrees): 4.080 4.080 5.251 112.86 112.86 90.00
Positions (direct):
Si 0.750 0.250 0.500
Si 0.250 0.750 0.500
Tl 0.000 0.000 0.000
Sc 0.500 0.500 0.000

The formation energy from raw total energies comes out at 0.040 eV per atom. The value obtained for the energy above the lowest structure with this stoichiometry is 0.046 eV/atom.



14.
Sc2TlSi | meta-GGA SCAN | PBEsol geometry

Lattice parameters (Å, degrees): 3.357 3.357 7.644 90.00 90.00 98.74
Positions (direct):
Sc 0.500 0.500 0.712
Sc 0.000 0.000 0.001
Tl 0.500 0.500 0.274
Si 0.000 0.000 0.512

The formation energy from raw total energies comes out at -0.021 eV per atom.



15.
ScTlSi3 | meta-GGA SCAN | PBEsol geometry

Lattice parameters (Å, degrees): 5.009 5.009 5.009 90.00 90.00 90.00
Positions (direct):
Si 0.000 0.500 0.000
Si 0.500 0.000 0.000
Si 0.000 0.000 0.500
Sc 0.000 0.000 0.000
Tl 0.500 0.500 0.500

The formation energy from raw total energies comes out at 0.823 eV per atom.



16.
ScTl2Si | meta-GGA SCAN | PBEsol geometry

Lattice parameters (Å, degrees): 3.682 4.097 6.764 107.63 105.79 90.00
Positions (direct):
Si 0.500 0.000 0.000
Tl 0.192 0.192 0.383
Tl 0.808 0.808 0.617
Sc 0.000 0.500 0.000

The formation energy from raw total energies comes out at -0.057 eV per atom. The value obtained for the energy above the lowest structure with this stoichiometry is 0.001 eV/atom.



17.
Sc2TlSi | meta-GGA SCAN | PBEsol geometry

Lattice parameters (Å, degrees): 4.893 4.893 4.893 60.00 60.00 60.00
Positions (direct):
Sc 0.000 0.000 0.000
Sc 0.750 0.750 0.750
Tl 0.250 0.250 0.250
Si 0.500 0.500 0.500

The formation energy from raw total energies comes out at 0.228 eV per atom.



18.
ScV5Si5 | meta-GGA SCAN | PBEsol geometry

Lattice parameters (Å, degrees): 4.874 7.531 9.178 114.22 105.40 90.00
Positions (direct):
V 0.563 0.312 0.623
V 0.142 0.023 0.283
V 0.565 0.810 0.130
V 0.936 0.680 0.873
V 0.060 0.312 0.623
V 0.064 0.320 0.127
V 0.435 0.190 0.870
V 0.858 0.977 0.717
V 0.437 0.688 0.377
V 0.940 0.688 0.377
Si 0.212 0.411 0.424
Si 0.788 0.589 0.576
Si 0.437 0.521 0.874
Si 0.716 0.007 0.432
Si 0.247 0.000 0.000
Si 0.284 0.993 0.568
Si 0.936 0.347 0.872
Si 0.563 0.479 0.126
Si 0.753 0.000 0.000
Si 0.064 0.653 0.128
Sc 0.357 0.745 0.715
Sc 0.643 0.255 0.285

The formation energy from raw total energies comes out at -0.613 eV per atom.



19.
Sc2V3Si4 | meta-GGA SCAN | PBEsol geometry

Lattice parameters (Å, degrees): 6.562 6.562 12.152 90.00 90.00 90.00
Positions (direct):
Si 0.705 0.039 0.565
Si 0.297 0.630 0.570
Si 0.539 0.795 0.315
Si 0.630 0.297 0.430
Si 0.797 0.870 0.180
Si 0.795 0.539 0.685
Si 0.703 0.370 0.070
Si 0.961 0.295 0.935
Si 0.870 0.797 0.820
Si 0.203 0.130 0.680
Si 0.205 0.461 0.185
Si 0.039 0.705 0.435
Si 0.130 0.203 0.320
Si 0.370 0.703 0.930
Si 0.295 0.961 0.065
Si 0.461 0.205 0.815
Sc 0.837 0.502 0.280
Sc 0.498 0.163 0.220
Sc 0.163 0.498 0.780
Sc 0.002 0.663 0.030
Sc 0.663 0.002 0.970
Sc 0.998 0.337 0.530
Sc 0.337 0.998 0.470
Sc 0.502 0.837 0.720
V 0.008 0.157 0.126
V 0.492 0.657 0.124
V 0.668 0.668 0.500
V 0.657 0.492 0.876
V 0.992 0.843 0.626
V 0.343 0.508 0.376
V 0.508 0.343 0.624
V 0.157 0.008 0.874
V 0.843 0.992 0.374
V 0.332 0.332 0.000
V 0.168 0.832 0.250
V 0.832 0.168 0.750

The formation energy from raw total energies comes out at -0.755 eV per atom.



20.
Sc2SiW | meta-GGA SCAN | PBEsol geometry

Lattice parameters (Å, degrees): 3.014 3.713 6.168 90.00 90.00 90.00
Positions (direct):
Sc 0.000 0.000 0.242
Sc 0.000 0.000 0.758
W 0.500 0.500 0.500
Si 0.500 0.500 0.000

The formation energy from raw total energies comes out at -0.116 eV per atom.